HoNiPb | Alexandria | SCAN | single point on PBEsol structure; volume = 241.97 Å³ per cell; energy = -47.54 eV per atom; energy of formation = -0.555 eV per atom; ρ = 11.83 Mg/m³; magnetization = 0.00 μB per formula unit
1.0
-4.426 -0.576 -0.325
1.040 -5.989 -3.550
0.024 -3.914 6.609
Ni Ho Pb
4 4 4
Direct
0.250 0.712 0.584 Ni
0.750 0.788 0.084 Ni
0.250 0.212 0.916 Ni
0.750 0.288 0.416 Ni
0.250 0.488 0.200 Ho
0.750 0.512 0.800 Ho
0.250 0.988 0.300 Ho
0.750 0.012 0.700 Ho
0.750 0.687 0.413 Pb
0.250 0.813 0.913 Pb
0.250 0.313 0.587 Pb
0.750 0.187 0.087 Pb

Ho2Ni2Pb | Alexandria | SCAN | single point on PBEsol structure; volume = 98.62 Å³ per cell; energy = -41.83 eV per atom; energy of formation = -0.606 eV per atom; ρ = 11.02 Mg/m³; magnetization = 0.00 μB per formula unit
1.0
3.600 0.000 0.000
0.000 3.914 0.000
0.000 1.957 6.999
Ho Ni Pb
2 2 1
Direct
0.500 0.641 0.719 Ho
0.500 0.359 0.281 Ho
0.000 0.800 0.401 Ni
0.000 0.200 0.599 Ni
0.000 0.000 0.000 Pb

Ho5NiSb2 | Alexandria | SCAN | single point on PBEsol structure; energy relative to the elements, uncorrected = -0.801 eV/atom; volume = 796.37 Å³ per cell; energy = -42.75 eV per atom; ρ = 9.40 Mg/m³; magnetization = 0.00 μB per formula unit
1.0
-5.144 5.610 -1.199
-4.250 -2.357 7.207
6.675 7.485 6.386
Ho Sb Ni
20 8 4
Direct
0.375 0.750 0.303 Ho
0.875 0.250 0.197 Ho
0.820 0.042 0.935 Ho
0.320 0.958 0.565 Ho
0.680 0.458 0.435 Ho
0.625 0.250 0.697 Ho
0.843 0.750 0.207 Ho
0.157 0.250 0.793 Ho
0.820 0.458 0.935 Ho
0.680 0.042 0.435 Ho
0.343 0.250 0.293 Ho
0.125 0.750 0.803 Ho
0.455 0.250 0.000 Ho
0.320 0.542 0.565 Ho
0.955 0.750 0.500 Ho
0.180 0.958 0.065 Ho
0.545 0.750 0.000 Ho
0.657 0.750 0.707 Ho
0.180 0.542 0.065 Ho
0.045 0.250 0.500 Ho
0.928 0.491 0.673 Sb
0.572 0.009 0.173 Sb
0.428 0.991 0.827 Sb
0.072 0.509 0.327 Sb
0.572 0.491 0.173 Sb
0.072 0.991 0.327 Sb
0.928 0.009 0.673 Sb
0.428 0.509 0.827 Sb
0.423 0.250 0.513 Ni
0.077 0.250 0.013 Ni
0.923 0.750 0.987 Ni
0.577 0.750 0.487 Ni

HoNiSb2 | Alexandria | SCAN | single point on PBEsol structure; energy relative to the elements, uncorrected = -0.731 eV/atom; volume = 168.93 Å³ per cell; energy = -35.65 eV per atom; ρ = 9.18 Mg/m³; magnetization = 0.00 μB per formula unit
1.0
-1.094 3.548 -2.162
-3.777 -1.781 -1.012
-3.688 3.498 7.608
Ho Sb Ni
2 4 2
Direct
0.500 0.000 0.763 Ho
0.000 0.500 0.237 Ho
0.500 0.500 0.500 Sb
0.000 0.000 0.500 Sb
0.000 0.500 0.855 Sb
0.500 0.000 0.145 Sb
0.000 0.000 0.000 Ni
0.500 0.500 0.000 Ni

HoSi2Ni2 | Alexandria | SCAN | single point on PBEsol structure; energy relative to the elements, uncorrected = -0.878 eV/atom; volume = 71.93 Å³ per cell; energy = -21.15 eV per atom; ρ = 7.81 Mg/m³; magnetization = 0.00 μB per formula unit
1.0
3.911 0.000 0.000
0.000 3.911 0.000
-1.956 -1.956 4.702
Ni Si Ho
2 2 1
Direct
0.250 0.750 0.500 Ni
0.750 0.250 0.500 Ni
0.373 0.373 0.747 Si
0.627 0.627 0.253 Si
0.000 0.000 0.000 Ho

Ho6Ni2Sn | Alexandria | SCAN | single point on PBEsol structure; volume = 428.59 Å³ per cell; energy = -40.70 eV per atom; energy of formation = -0.459 eV per atom; ρ = 9.50 Mg/m³; magnetization = 0.00 μB per formula unit
1.0
8.238 -0.070 0.007
-3.176 7.602 -0.007
2.798 3.586 6.869
Ho Ni Sn
12 4 2
Direct
0.691 0.016 0.675 Ho
0.309 0.634 0.675 Ho
0.205 0.767 0.028 Ho
0.525 0.707 0.183 Ho
0.795 0.767 0.437 Ho
0.890 0.707 0.817 Ho
0.795 0.233 0.972 Ho
0.205 0.233 0.563 Ho
0.475 0.293 0.817 Ho
0.309 0.984 0.325 Ho
0.110 0.293 0.183 Ho
0.691 0.366 0.325 Ho
0.352 0.000 0.648 Ni
0.648 0.000 0.352 Ni
0.500 0.624 0.876 Ni
0.500 0.376 0.124 Ni
0.000 0.000 0.000 Sn
0.000 0.500 0.500 Sn

Ho2Ni2Sn | Alexandria | SCAN | single point on PBEsol structure; volume = 186.84 Å³ per cell; energy = -33.90 eV per atom; energy of formation = -0.648 eV per atom; ρ = 10.06 Mg/m³; magnetization = 0.00 μB per formula unit
1.0
-2.973 -1.505 -1.366
-1.383 -3.055 6.374
-3.822 5.787 1.944
Ni Ho Sn
4 4 2
Direct
0.000 0.621 0.121 Ni
0.000 0.379 0.879 Ni
0.000 0.879 0.621 Ni
0.000 0.121 0.379 Ni
0.500 0.325 0.175 Ho
0.500 0.825 0.325 Ho
0.500 0.175 0.675 Ho
0.500 0.675 0.825 Ho
0.000 0.500 0.500 Sn
0.000 0.000 0.000 Sn

HoNiSn4 | Alexandria | SCAN | single point on PBEsol structure; volume = 268.22 Å³ per cell; energy = -35.17 eV per atom; energy of formation = -0.359 eV per atom; ρ = 8.65 Mg/m³; magnetization = 0.00 μB per formula unit
1.0
-0.658 4.278 0.254
-1.779 -0.511 4.001
12.991 -0.539 5.706
Sn Ni Ho
8 2 2
Direct
0.609 0.500 0.219 Sn
0.000 0.000 0.000 Sn
0.500 0.500 0.000 Sn
0.286 0.000 0.572 Sn
0.890 0.000 0.780 Sn
0.714 0.000 0.428 Sn
0.110 0.000 0.220 Sn
0.391 0.500 0.781 Sn
0.552 0.000 0.104 Ni
0.448 0.000 0.896 Ni
0.193 0.500 0.387 Ho
0.807 0.500 0.613 Ho